The following is a PBE calculation of a relaxed structure of Mg4ZrRh5, from the Alexandria database.

Unit cell a=3.191 b=3.191 c=15.543 alpha=90.00 beta=90.00 gamma=90.00
Element x y z (fractional)
Mg  0.000  0.000  0.209
Mg  0.000  0.000  0.402
Mg  0.000  0.000  0.598
Mg  0.000  0.000  0.791
Rh  0.500  0.500  0.302
Rh  0.500  0.500  0.500
Rh  0.500  0.500  0.897
Rh  0.500  0.500  0.698
Rh  0.500  0.500  0.103
Zr  0.000  0.000  0.000

## Properties
Fermi-level density of states, states/eV per cell: 5.830
Mass density, g cm⁻³: 7.38
ΔE_f, kJ per mole of atoms: -58

---

The following is a PBE calculation of a relaxed structure of LiMg2Ga4, from the Alexandria database.

Unit cell a=4.528 b=3.086 c=9.706 alpha=99.15 beta=103.49 gamma=90.00
Element x y z (fractional)
Ga  0.643  0.643  0.287
Ga  0.931  0.431  0.861
Ga  0.069  0.569  0.139
Ga  0.357  0.357  0.713
Mg  0.796  0.796  0.592
Mg  0.204  0.204  0.408
Li  0.500  0.000  0.000

## Properties
Fermi-level density of states, states/eV per cell: 2.294
E above lowest polymorph, kJ per mole of atoms: 0.00
Mass density, g cm⁻³: 4.27
ΔE_f, kJ per mole of atoms: -16

---

The following is a PBE calculation of a relaxed structure of Rb2ZrHgS4, from the Alexandria database.

Unit cell a=3.898 b=7.997 c=7.433 alpha=69.12 beta=90.00 gamma=90.00
Element x y z (fractional)
S  0.500  0.703  0.308
S  0.000  0.665  0.753
S  0.000  0.335  0.247
S  0.500  0.297  0.692
Rb  0.000  0.000  0.000
Rb  0.500  0.000  0.500
Zr  0.000  0.500  0.500
Hg  0.500  0.500  0.000

## Properties
Formation energy (no corrections), eV/atom: -1.05
Mass density, g cm⁻³: 4.53

---

The following is a PBE calculation of a relaxed structure of MgTe2N, from the Alexandria database.

Unit cell a=9.437 b=9.437 c=9.437 alpha=20.23 beta=20.23 gamma=20.23
Element x y z (fractional)
Mg  0.000  0.000  0.000
Te  0.892  0.892  0.892
Te  0.108  0.108  0.108
N  0.500  0.500  0.500

## Properties
Fermi-level density of states, states/eV per cell: 1.838
E above lowest polymorph, kJ per mole of atoms: 40.07
Formation energy (no corrections), eV/atom: 0.86
Mass density, g cm⁻³: 5.54

---

The following is a PBE calculation of a relaxed structure of BaPuTl, from the Alexandria database.

Unit cell a=3.540 b=3.540 c=14.565 alpha=90.00 beta=90.00 gamma=90.00
Element x y z (fractional)
Ba  0.000  0.500  0.866
Ba  0.500  0.000  0.134
Tl  0.000  0.500  0.307
Tl  0.500  0.000  0.693
Pu  0.500  0.500  0.500
Pu  0.000  0.000  0.500

## Properties
Fermi-level density of states, states/eV per cell: 11.530
Mass density, g cm⁻³: 10.66
ΔE_f, kJ per mole of atoms: 32

---

The following is a PBE calculation of a relaxed structure of CeSm5Sb6, from the Alexandria database.

Unit cell a=7.754 b=7.748 c=7.751 alpha=60.01 beta=80.41 gamma=70.53
Each line ends with the local moment (μB).
Element x y z (fractional)
Sm  0.500  0.167  0.666  0.00
Sm  0.500  0.500  0.000  0.00
Sm  0.000  0.333  0.333  0.00
Sm  0.000  0.667  0.667  0.00
Sm  0.500  0.833  0.334  0.00
Ce  0.000  0.000  0.000  0.65
Sb  0.751  0.751  0.000  -0.01
Sb  0.750  0.416  0.667  -0.01
Sb  0.249  0.249  0.000  -0.01
Sb  0.750  0.083  0.333  -0.01
Sb  0.250  0.584  0.333  -0.01
Sb  0.250  0.917  0.667  -0.01

## Properties
Fermi-level density of states, states/eV per cell: 6.720
Formation energy (no corrections), eV/atom: -1.16
Mass density, g cm⁻³: 7.09